VASP calculation (PBE) on a geometry-optimized Tm2TlTe structure. Values from VASP.

V = 28.68 A^3/atom
Energy above the lowest structure with this stoichiometry = 0.024 eV per atom
Space group = No. 12

Structure (Quantum ESPRESSO input):
```
&SYSTEM
  ibrav = 0, nat = 16, ntyp = 3
/
ATOMIC_SPECIES
Tl 204.38 Tl.upf
Te 127.60 Te.upf
Tm 168.93 Tm.upf
CELL_PARAMETERS angstrom
-3.703 4.348 -2.364
-3.461 -4.374 -2.625
-5.754 0.930 10.725
ATOMIC_POSITIONS crystal
Tl 0.750 0.446 0.861
Tl 0.250 0.946 0.361
Tl 0.750 0.054 0.639
Tl 0.250 0.554 0.139
Te 0.250 0.995 0.873
Te 0.750 0.495 0.373
Te 0.250 0.505 0.627
Te 0.750 0.005 0.127
Tm 0.750 0.953 0.876
Tm 0.250 0.047 0.124
Tm 0.750 0.502 0.119
Tm 0.250 0.453 0.376
Tm 0.250 0.498 0.881
Tm 0.750 0.998 0.381
Tm 0.750 0.547 0.624
Tm 0.250 0.002 0.619
```



VASP calculation (PBE) on a geometry-optimized Tm5TlTe2 structure. Values from VASP.

V = 30.34 A^3/atom
Space group = No. 63

Structure (Quantum ESPRESSO input):
```
&SYSTEM
  ibrav = 0, nat = 16, ntyp = 3
/
ATOMIC_SPECIES
Tm 168.93 Tm.upf
Tl 204.38 Tl.upf
Te 127.60 Te.upf
CELL_PARAMETERS angstrom
5.968 0.000 0.000
-2.984 6.086 0.000
0.000 0.000 13.364
ATOMIC_POSITIONS crystal
Tm 0.060 0.120 0.388
Tm 0.617 0.234 0.947
Tm 0.383 0.766 0.053
Tm 0.940 0.880 0.612
Tm 0.940 0.880 0.888
Tm 0.388 0.776 0.750
Tm 0.612 0.224 0.250
Tm 0.617 0.234 0.553
Tm 0.383 0.766 0.447
Tm 0.060 0.120 0.112
Tl 0.267 0.534 0.250
Tl 0.733 0.466 0.750
Te 0.190 0.381 0.906
Te 0.810 0.619 0.094
Te 0.810 0.619 0.406
Te 0.190 0.381 0.594
```



VASP calculation (PBE) on a geometry-optimized Tm3TlTe structure. Values from VASP.

V = 28.86 A^3/atom
Energy above the lowest structure with this stoichiometry = 0.000 eV per atom
Space group = No. 62

Structure (Quantum ESPRESSO input):
```
&SYSTEM
  ibrav = 0, nat = 20, ntyp = 3
/
ATOMIC_SPECIES
Tm 168.93 Tm.upf
Te 127.60 Te.upf
Tl 204.38 Tl.upf
CELL_PARAMETERS angstrom
3.889 0.000 0.000
0.000 12.518 0.000
0.000 0.000 11.854
ATOMIC_POSITIONS crystal
Tm 0.250 0.949 0.363
Tm 0.250 0.224 0.220
Tm 0.750 0.449 0.137
Tm 0.250 0.866 0.066
Tm 0.250 0.551 0.863
Tm 0.750 0.776 0.780
Tm 0.750 0.366 0.434
Tm 0.750 0.051 0.637
Tm 0.250 0.634 0.566
Tm 0.250 0.276 0.720
Tm 0.750 0.724 0.280
Tm 0.750 0.134 0.934
Te 0.250 0.968 0.830
Te 0.250 0.532 0.330
Te 0.750 0.468 0.670
Te 0.750 0.032 0.170
Tl 0.250 0.176 0.479
Tl 0.750 0.824 0.521
Tl 0.750 0.676 0.021
Tl 0.250 0.324 0.979
```



VASP calculation (PBE) on a geometry-optimized Tm4TlTe5 structure. Values from VASP.

V = 34.57 A^3/atom
Space group = No. 59

Structure (Quantum ESPRESSO input):
```
&SYSTEM
  ibrav = 0, nat = 20, ntyp = 3
/
ATOMIC_SPECIES
Te 127.60 Te.upf
Tm 168.93 Tm.upf
Tl 204.38 Tl.upf
CELL_PARAMETERS angstrom
7.648 0.000 0.000
0.000 9.657 0.000
0.000 0.000 9.360
ATOMIC_POSITIONS crystal
Te 0.761 0.206 0.717
Te 0.761 0.794 0.717
Te 0.239 0.294 0.783
Te 0.239 0.706 0.783
Te 0.687 0.500 0.000
Te 0.761 0.794 0.283
Te 0.239 0.294 0.217
Te 0.761 0.206 0.283
Te 0.239 0.706 0.217
Te 0.313 0.000 0.500
Tm 0.083 0.000 0.759
Tm 0.484 0.275 0.500
Tm 0.917 0.500 0.259
Tm 0.516 0.225 0.000
Tm 0.516 0.775 0.000
Tm 0.484 0.725 0.500
Tm 0.083 0.000 0.241
Tm 0.917 0.500 0.741
Tl 0.800 0.000 0.000
Tl 0.200 0.500 0.500
```



VASP calculation (PBE) on a geometry-optimized Tm4Tl2Te5 structure. Values from VASP.

V = 33.88 A^3/atom
Space group = No. 12

Structure (Quantum ESPRESSO input):
```
&SYSTEM
  ibrav = 0, nat = 11, ntyp = 3
/
ATOMIC_SPECIES
Tl 204.38 Tl.upf
Tm 168.93 Tm.upf
Te 127.60 Te.upf
CELL_PARAMETERS angstrom
4.149 0.000 0.000
0.000 7.502 -2.237
-2.074 -5.820 13.709
ATOMIC_POSITIONS crystal
Tl 0.948 0.251 0.897
Tl 0.052 0.749 0.103
Tm 0.076 0.345 0.152
Tm 0.724 0.677 0.448
Tm 0.924 0.655 0.848
Tm 0.276 0.323 0.552
Te 0.830 0.698 0.661
Te 0.178 0.820 0.356
Te 0.170 0.302 0.339
Te 0.822 0.180 0.644
Te 0.500 0.000 0.000
```



VASP calculation (PBE) on a geometry-optimized Tm6TlTe5 structure. Values from VASP.

V = 28.62 A^3/atom
Space group = No. 12

Structure (Quantum ESPRESSO input):
```
&SYSTEM
  ibrav = 0, nat = 12, ntyp = 3
/
ATOMIC_SPECIES
Tm 168.93 Tm.upf
Te 127.60 Te.upf
Tl 204.38 Tl.upf
CELL_PARAMETERS angstrom
-3.616 -6.294 -1.817
4.998 -5.400 -1.472
2.432 -4.462 5.501
ATOMIC_POSITIONS crystal
Tm 0.759 0.402 0.678
Tm 0.241 0.598 0.322
Tm 0.752 0.763 0.000
Tm 0.248 0.237 0.000
Tm 0.759 0.079 0.322
Tm 0.241 0.921 0.678
Te 0.000 0.665 0.671
Te 0.500 0.500 0.000
Te 0.500 0.173 0.654
Te 0.500 0.827 0.346
Te 0.000 0.335 0.329
Tl 0.000 0.000 0.000
```



VASP calculation (PBE) on a geometry-optimized Tm5Tl2Te structure. Values from VASP.

V = 28.57 A^3/atom
Energy above the lowest structure with this stoichiometry = 0.118 eV per atom
Space group = No. 1

Structure (Quantum ESPRESSO input):
```
&SYSTEM
  ibrav = 0, nat = 8, ntyp = 3
/
ATOMIC_SPECIES
Tm 168.93 Tm.upf
Tl 204.38 Tl.upf
Te 127.60 Te.upf
CELL_PARAMETERS angstrom
7.547 0.641 0.213
0.640 7.525 0.216
-3.988 -3.976 3.845
ATOMIC_POSITIONS crystal
Tm 0.712 0.713 0.494
Tm 0.624 0.235 0.841
Tm 0.792 0.792 0.104
Tm 0.241 0.240 0.993
Tm 0.234 0.625 0.840
Tl 0.765 0.303 0.531
Tl 0.302 0.764 0.528
Te 0.106 0.106 0.222
```



VASP calculation (PBE) on a geometry-optimized TmTlTe4 structure. Values from VASP.

V = 33.54 A^3/atom
Space group = No. 125

Structure (Quantum ESPRESSO input):
```
&SYSTEM
  ibrav = 0, nat = 12, ntyp = 3
/
ATOMIC_SPECIES
Tm 168.93 Tm.upf
Te 127.60 Te.upf
Tl 204.38 Tl.upf
CELL_PARAMETERS angstrom
-1.797 -1.708 6.329
-0.374 -6.525 -1.867
8.388 -1.078 2.090
ATOMIC_POSITIONS crystal
Tm 0.500 0.500 0.000
Tm 0.000 0.000 0.000
Te 0.852 0.352 0.209
Te 0.352 0.148 0.209
Te 0.352 0.852 0.791
Te 0.648 0.852 0.209
Te 0.648 0.148 0.791
Te 0.852 0.648 0.791
Te 0.148 0.352 0.791
Te 0.148 0.648 0.209
Tl 0.500 0.500 0.500
Tl 0.000 0.000 0.500
```



Taking the records one at a time from the top gives uncorrected formation energy values of -68.5 -44.3 -56.3 -86.2 -78.4 -102.6 -33.8 -64.1 kJ per mole of atoms.
Taking the records one at a time from the top gives total moment values of 0.0 0.0 0.0 0.0 0.0 0.0 0.0 0.0 μB/f.u..